CaSn3Hg | PBE | optimized geometry

Lattice parameters (Å, degrees): 5.8498 5.8498 5.8498 90.00 90.00 90.00
Last column: nearest neighbours and their distance in Å.
Positions (direct):
Ca  0.0000  0.0000  0.0000  6 Sn 2.92
Sn  0.0000  0.0000  0.5000  2 Ca 2.92
Sn  0.0000  0.5000  0.0000  2 Ca 2.92
Sn  0.5000  0.0000  0.0000  2 Ca 2.92
Hg  0.5000  0.5000  0.5000  12 Sn 4.14

Energy in eV per atom: -2.2604
Energy relative to the lowest polymorph listed for this composition in eV/f.u.: 1.87
E_form in eV/atom: 0.602
ρ in g/cm3: 4.95

=====

LiTc3H | PBE | optimized geometry

Lattice parameters (Å, degrees): 4.0725 4.0725 4.0725 90.00 90.00 90.00
Last column: nearest neighbours and their distance in Å.
Positions (direct):
Li  0.0000  0.0000  0.0000  6 Tc 2.04
Tc  0.0000  0.0000  0.5000  2 Li 2.04
Tc  0.0000  0.5000  0.0000  2 Li 2.04
Tc  0.5000  0.0000  0.0000  2 Li 2.04
H  0.5000  0.5000  0.5000  12 Tc 2.88

Energy in eV per atom: -5.2573
Energy relative to the lowest polymorph listed for this composition in eV/f.u.: 8.42
ρ in g/cm3: 7.42

=====

AlTcSb3 | PBE | optimized geometry

Lattice parameters (Å, degrees): 5.1741 5.1741 5.1741 90.00 90.00 90.00
Last column: nearest neighbours and their distance in Å.
Positions (direct):
Al  0.0000  0.0000  0.0000  12 Sb 3.66
Tc  0.5000  0.5000  0.5000  6 Sb 2.59
Sb  0.0000  0.5000  0.5000  2 Tc 2.59
Sb  0.5000  0.0000  0.5000  2 Tc 2.59
Sb  0.5000  0.5000  0.0000  2 Tc 2.59

Formation energy without anion corrections in meV per atom: 582
Energy in eV per atom: -4.7136
Energy relative to the lowest polymorph listed for this composition in eV/f.u.: 0.00
ρ in g/cm3: 5.88

=====

Nb5Fe | PBE | optimized geometry

Lattice parameters (Å, degrees): 7.1719 7.1719 3.2515 90.00 90.00 142.38
Last column: nearest neighbours and their distance in Å.
Positions (direct):
Nb  0.0000  0.0000  0.0000  4 Nb 2.77, 4 Fe 2.83
Nb  0.1650  0.8350  0.5000  8 Nb 2.77-2.89
Nb  0.3412  0.6588  0.0000  2 Fe 2.70, 6 Nb 2.83-2.89
Nb  0.6588  0.3412  0.0000  2 Fe 2.70, 6 Nb 2.83-2.89
Nb  0.8350  0.1650  0.5000  8 Nb 2.77-2.89
Fe  0.5000  0.5000  0.5000  8 Nb 2.70-2.83

Energy in eV per atom: -9.8121
Energy relative to the lowest polymorph listed for this composition in eV/f.u.: 0.05
E_form in eV/atom: -0.010
ρ in g/cm3: 8.46

=====

Ta2TiPd9 | PBE | optimized geometry

Lattice parameters (Å, degrees): 3.9609 3.9609 11.8927 90.00 90.00 90.00
Last column: nearest neighbours and their distance in Å.
Positions (direct):
Ta  0.0000  0.0000  0.1708  12 Pd 2.76-2.84
Ta  0.0000  0.0000  0.8292  12 Pd 2.76-2.84
Ti  0.0000  0.0000  0.5000  12 Pd 2.80-2.81
Pd  0.0000  0.5000  0.0000  8 Pd 2.79-2.80, 4 Ta 2.84
Pd  0.0000  0.5000  0.3322  2 Ta 2.76, 8 Pd 2.80-2.81, 2 Ti 2.81
Pd  0.0000  0.5000  0.6678  2 Ta 2.76, 8 Pd 2.80-2.81, 2 Ti 2.81
Pd  0.5000  0.0000  0.0000  8 Pd 2.79-2.80, 4 Ta 2.84
Pd  0.5000  0.0000  0.3322  2 Ta 2.76, 8 Pd 2.80-2.81, 2 Ti 2.81
Pd  0.5000  0.0000  0.6678  2 Ta 2.76, 8 Pd 2.80-2.81, 2 Ti 2.81
Pd  0.5000  0.5000  0.1653  8 Pd 2.79-2.80, 4 Ta 2.80
Pd  0.5000  0.5000  0.5000  4 Ti 2.80, 8 Pd 2.81
Pd  0.5000  0.5000  0.8347  8 Pd 2.79-2.80, 4 Ta 2.80

Energy in eV per atom: -6.9516
E_form in eV/atom: -0.424
ρ in g/cm3: 12.17

=====

TbEr2Tl2Cd2 | PBE | optimized geometry

Lattice parameters (Å, degrees): 9.0886 9.0886 9.0886 32.00 32.00 32.00
Last column: nearest neighbours and their distance in Å.
Positions (direct):
Tb  0.0000  0.0000  0.0000  6 Tl 3.33, 2 Er 3.46
Er  0.1338  0.1338  0.1338  3 Cd 3.04, 3 Er 3.36
Er  0.8662  0.8662  0.8662  3 Cd 3.04, 3 Er 3.36
Tl  0.2698  0.2698  0.2698  3 Cd 3.03, 3 Tb 3.33
Tl  0.7302  0.7302  0.7302  3 Cd 3.03, 3 Tb 3.33
Cd  0.4313  0.4313  0.4313  3 Tl 3.03, 3 Er 3.04
Cd  0.5687  0.5687  0.5687  3 Tl 3.03, 3 Er 3.04

Energy in eV per atom: -3.0281
E_form in eV/atom: -0.125
ρ in g/cm3: 9.99

=====

Pr3Tl5O12 | PBE | optimized geometry

Lattice parameters (Å, degrees): 11.8964 11.8964 11.8964 109.47 109.47 109.47
Last column: nearest neighbours and their distance in Å.
Positions (direct):
Pr  0.1250  0.2500  0.3750  8 O 2.54-2.59
Pr  0.1250  0.3750  0.7500  8 O 2.54-2.59
Pr  0.2500  0.3750  0.1250  8 O 2.54-2.59
Pr  0.2500  0.8750  0.6250  8 O 2.54-2.59
Pr  0.3750  0.1250  0.2500  8 O 2.54-2.59
Pr  0.3750  0.7500  0.1250  8 O 2.54-2.59
Pr  0.6250  0.2500  0.8750  8 O 2.54-2.59
Pr  0.6250  0.8750  0.7500  8 O 2.54-2.59
Pr  0.7500  0.1250  0.3750  8 O 2.54-2.59
Pr  0.7500  0.6250  0.8750  8 O 2.54-2.59
Pr  0.8750  0.6250  0.2500  8 O 2.54-2.59
Pr  0.8750  0.7500  0.6250  8 O 2.54-2.59
Tl  0.0000  0.0000  0.0000  6 O 2.30
Tl  0.0000  0.0000  0.5000  6 O 2.30
Tl  0.0000  0.5000  0.0000  6 O 2.30
Tl  0.0000  0.5000  0.5000  6 O 2.30
Tl  0.1250  0.7500  0.8750  4 O 2.17
Tl  0.1250  0.8750  0.2500  4 O 2.17
Tl  0.2500  0.1250  0.8750  4 O 2.17
Tl  0.2500  0.6250  0.3750  4 O 2.17
Tl  0.3750  0.2500  0.6250  4 O 2.17
Tl  0.3750  0.6250  0.7500  4 O 2.17
Tl  0.5000  0.0000  0.0000  6 O 2.30
Tl  0.5000  0.0000  0.5000  6 O 2.30
Tl  0.5000  0.5000  0.0000  6 O 2.30
Tl  0.5000  0.5000  0.5000  6 O 2.30
Tl  0.6250  0.3750  0.2500  4 O 2.17
Tl  0.6250  0.7500  0.3750  4 O 2.17
Tl  0.7500  0.3750  0.6250  4 O 2.17
Tl  0.7500  0.8750  0.1250  4 O 2.17
Tl  0.8750  0.1250  0.7500  4 O 2.17
Tl  0.8750  0.2500  0.1250  4 O 2.17
O  0.0459  0.2178  0.1344  2 Tl 2.17-2.30
O  0.0459  0.3281  0.9115  2 Tl 2.17-2.30
O  0.0834  0.7178  0.6719  2 Tl 2.17-2.30
O  0.0834  0.8656  0.4115  2 Tl 2.17-2.30
O  0.0885  0.6344  0.4166  2 Tl 2.17-2.30
O  0.0885  0.9541  0.6719  2 Tl 2.17-2.30
O  0.1344  0.0459  0.2178  2 Tl 2.17-2.30
O  0.1344  0.5885  0.9166  2 Tl 2.17-2.30
O  0.1719  0.2178  0.5834  2 Tl 2.17-2.30
O  0.1719  0.4541  0.5885  2 Tl 2.17-2.30
O  0.2178  0.1344  0.0459  2 Tl 2.17-2.30
O  0.2178  0.5834  0.1719  2 Tl 2.17-2.30
O  0.2822  0.3281  0.9166  2 Tl 2.17-2.30
O  0.2822  0.4541  0.3656  2 Tl 2.17-2.30
O  0.3281  0.9115  0.0459  2 Tl 2.17-2.30
O  0.3281  0.9166  0.2822  2 Tl 2.17-2.30
O  0.3656  0.2822  0.4541  2 Tl 2.17-2.30
O  0.3656  0.5834  0.9115  2 Tl 2.17-2.30
O  0.4115  0.0834  0.8656  2 Tl 2.17-2.30
O  0.4115  0.8281  0.5459  2 Tl 2.17-2.30
O  0.4166  0.0885  0.6344  2 Tl 2.17-2.30
O  0.4166  0.8281  0.7822  2 Tl 2.17-2.30
O  0.4541  0.3656  0.2822  2 Tl 2.17-2.30
O  0.4541  0.5885  0.1719  2 Tl 2.17-2.30
O  0.5459  0.4115  0.8281  2 Tl 2.17-2.30
O  0.5459  0.6344  0.7178  2 Tl 2.17-2.30
O  0.5834  0.1719  0.2178  2 Tl 2.17-2.30
O  0.5834  0.9115  0.3656  2 Tl 2.17-2.30
O  0.5885  0.1719  0.4541  2 Tl 2.17-2.30
O  0.5885  0.9166  0.1344  2 Tl 2.17-2.30
O  0.6344  0.4166  0.0885  2 Tl 2.17-2.30
O  0.6344  0.7178  0.5459  2 Tl 2.17-2.30
O  0.6719  0.0834  0.7178  2 Tl 2.17-2.30
O  0.6719  0.0885  0.9541  2 Tl 2.17-2.30
O  0.7178  0.5459  0.6344  2 Tl 2.17-2.30
O  0.7178  0.6719  0.0834  2 Tl 2.17-2.30
O  0.7822  0.4166  0.8281  2 Tl 2.17-2.30
O  0.7822  0.8656  0.9541  2 Tl 2.17-2.30
O  0.8281  0.5459  0.4115  2 Tl 2.17-2.30
O  0.8281  0.7822  0.4166  2 Tl 2.17-2.30
O  0.8656  0.4115  0.0834  2 Tl 2.17-2.30
O  0.8656  0.9541  0.7822  2 Tl 2.17-2.30
O  0.9115  0.0459  0.3281  2 Tl 2.17-2.30
O  0.9115  0.3656  0.5834  2 Tl 2.17-2.30
O  0.9166  0.1344  0.5885  2 Tl 2.17-2.30
O  0.9166  0.2822  0.3281  2 Tl 2.17-2.30
O  0.9541  0.6719  0.0885  2 Tl 2.17-2.30
O  0.9541  0.7822  0.8656  2 Tl 2.17-2.30

Formation energy without anion corrections in meV per atom: -1639
Energy in eV per atom: -5.9221
ρ in g/cm3: 8.39

=====

Na6Au5 | PBE | optimized geometry

Lattice parameters (Å, degrees): 8.6019 8.6019 8.6019 146.64 131.09 60.50
Last column: nearest neighbours and their distance in Å.
Positions (direct):
Na  0.0820  0.3325  0.7495  7 Au 3.04-3.06
Na  0.2477  0.0000  0.2477  6 Au 3.03-3.06
Na  0.4170  0.6675  0.7495  7 Au 3.04-3.06
Na  0.5830  0.3325  0.2505  7 Au 3.04-3.06
Na  0.7523  0.0000  0.7523  6 Au 3.03-3.06
Na  0.9180  0.6675  0.2505  7 Au 3.04-3.06
Au  0.1661  0.1661  0.0000  8 Na 3.03-3.05
Au  0.3337  0.8337  0.5000  8 Na 3.04-3.06
Au  0.5000  0.5000  0.0000  8 Na 3.05-3.06
Au  0.6663  0.1663  0.5000  8 Na 3.04-3.06
Au  0.8339  0.8339  0.0000  8 Na 3.03-3.05

Energy in eV per atom: -2.4759
E_form in eV/atom: -0.267
ρ in g/cm3: 7.14

=====

TaNbWBr2 | PBE | optimized geometry

Lattice parameters (Å, degrees): 4.8687 4.8687 5.1923 90.00 90.00 90.00
Last column: nearest neighbours and their distance in Å.
Positions (direct):
Ta  0.0000  0.0000  0.0000  2 W 2.60
Nb  0.5000  0.5000  0.0000  4 Ta 3.44, 8 Br 3.56
W  0.0000  0.0000  0.5000  4 Br 2.43, 2 Ta 2.60
Br  0.0000  0.5000  0.5000  2 W 2.43
Br  0.5000  0.0000  0.5000  2 W 2.43

Formation energy without anion corrections in meV per atom: 1767
Energy in eV per atom: -5.8777
ρ in g/cm3: 8.33

=====

TbYTc4 | PBE | optimized geometry

Lattice parameters (Å, degrees): 5.4144 5.4144 5.4144 60.00 60.00 60.00
Last column: nearest neighbours and their distance in Å.
Positions (direct):
Tb  0.0000  0.0000  0.0000  12 Tc 3.17, 4 Y 3.32
Y  0.2500  0.2500  0.2500  12 Tc 3.17, 4 Tb 3.32
Tc  0.1249  0.6250  0.6250  6 Tc 2.71
Tc  0.6250  0.1249  0.6250  6 Tc 2.71
Tc  0.6250  0.6250  0.1249  6 Tc 2.71
Tc  0.6250  0.6250  0.6250  6 Tc 2.71

Energy in eV per atom: -8.8867
E_form in eV/atom: -0.127
ρ in g/cm3: 9.47

=====

Pm3HoPu2Te6 | PBE | optimized geometry

Lattice parameters (Å, degrees): 9.9235 9.9235 8.9046 103.39 103.39 25.69
Last column: nearest neighbours and their distance in Å.
Positions (direct):
Pm  0.0000  0.0000  0.0000  6 Te 3.15-3.18
Pm  0.3316  0.3316  0.6658  6 Te 3.15-3.16
Pm  0.6684  0.6684  0.3342  6 Te 3.15-3.16
Ho  0.0000  0.0000  0.5000  6 Te 3.07-3.09
Pu  0.3340  0.3340  0.1669  6 Te 3.12-3.13
Pu  0.6660  0.6660  0.8331  6 Te 3.12-3.13
Te  0.1634  0.1634  0.5841  1 Ho 3.07, 2 Pu 3.12, 3 Pm 3.15-3.16
Te  0.1677  0.1677  0.0810  3 Pu 3.12, 3 Pm 3.15
Te  0.5003  0.5003  0.2572  2 Ho 3.09, 1 Pu 3.13, 3 Pm 3.16-3.18
Te  0.4997  0.4997  0.7428  2 Ho 3.09, 1 Pu 3.13, 3 Pm 3.16-3.18
Te  0.8323  0.8323  0.9190  3 Pu 3.12, 3 Pm 3.15
Te  0.8366  0.8366  0.4159  1 Ho 3.07, 2 Pu 3.12, 3 Pm 3.15-3.16

Formation energy without anion corrections in meV per atom: -1295
Energy in eV per atom: -6.8233
ρ in g/cm3: 8.34

=====

Ba2PuSe4 | PBE | optimized geometry

Lattice parameters (Å, degrees): 8.0983 12.8897 4.5319 90.00 90.00 90.00
Last column: nearest neighbours and their distance in Å.
Positions (direct):
Ba  0.0826  0.1809  0.0000  7 Se 3.24-3.61
Ba  0.4174  0.6809  0.0000  7 Se 3.24-3.61
Ba  0.5826  0.3191  0.0000  7 Se 3.24-3.61
Ba  0.9174  0.8191  0.0000  7 Se 3.24-3.61
Pu  0.0000  0.5000  0.5000  6 Se 2.78-2.92
Pu  0.5000  0.0000  0.5000  6 Se 2.78-2.92
Se  0.1324  0.6993  0.5000  1 Pu 2.78
Se  0.2132  0.4489  0.0000  2 Pu 2.92
Se  0.2868  0.9489  0.0000  2 Pu 2.92
Se  0.3676  0.1993  0.5000  1 Pu 2.78
Se  0.6324  0.8007  0.5000  1 Pu 2.78
Se  0.7132  0.0511  0.0000  2 Pu 2.92
Se  0.7868  0.5511  0.0000  2 Pu 2.92
Se  0.8676  0.3007  0.5000  1 Pu 2.78

Formation energy without anion corrections in meV per atom: -1701
Energy in eV per atom: -6.2891
Energy relative to the lowest polymorph listed for this composition in eV/f.u.: 0.00
ρ in g/cm3: 5.86